GaS8I2: relaxed, PBE.

Summary:
ΔE_f (raw): 0.205 eV/atom
Crystal system: monoclinic
SG: C2/m, No. 12
DFT total energy: -3.354 eV/atom

POSCAR file:
```
GaS8I2
1.0
-4.418 7.153 8.467
6.006 -6.150 -0.278
7.751 -1.243 -3.514
S I Ga
8 2 1
Cartesian
6.048 -2.352 -0.305
9.070 -3.383 -3.041
-0.196 3.871 5.766
0.269 3.143 7.716
1.112 5.511 6.155
8.228 -5.751 -1.480
3.292 2.112 4.980
9.536 -4.111 -1.091
9.309 -1.772 2.335
0.031 1.532 2.340
0.000 0.000 0.000
```